1.
PBE ScGeCl, optimized geometry; ΔE_f (raw) = -1.09 eV per atom; density of states at the Fermi level = 2.27 states/eV/cell
1.0
3.397 0.000 0.000
0.000 5.198 0.000
-1.699 -2.599 6.873
Sc Ge Cl
2 2 2
Cartesian
1.699 0.000 4.969 Sc
0.000 2.599 1.904 Sc
1.699 3.907 0.000 Ge
1.699 1.292 0.000 Ge
0.000 0.000 2.970 Cl
1.699 2.599 3.903 Cl

***

2.
PBE ScGeCl2, optimized geometry; ΔE_f (raw) = -0.48 eV per atom; density of states at the Fermi level = 3.00 states/eV/cell
1.0
0.000 3.393 3.393
3.393 0.000 3.393
3.393 3.393 0.000
Cl Ge Sc
2 1 1
Cartesian
5.089 5.089 5.089 Cl
1.696 1.696 1.696 Cl
3.393 3.393 3.393 Ge
0.000 0.000 0.000 Sc

***

3.
PBE ScGeCl3, optimized geometry; ΔE_f (raw) = -0.92 eV per atom; density of states at the Fermi level = 6.50 states/eV/cell
1.0
-2.575 4.351 0.080
-4.278 -2.548 0.878
0.796 0.379 4.979
Cl Sc Ge
3 1 1
Cartesian
0.398 0.190 2.489 Cl
-1.288 2.175 0.040 Cl
-2.139 -1.274 0.439 Cl
0.000 0.000 0.000 Sc
-3.028 1.091 2.969 Ge

***

4.
PBE Sc2Ge2Cl, optimized geometry; ΔE_f (raw) = -0.58 eV per atom; density of states at the Fermi level = 9.62 states/eV/cell
1.0
-4.595 -5.606 3.221
4.887 -5.599 -2.773
1.757 0.157 2.779
Sc Ge Cl
4 4 2
Cartesian
-1.329 -6.184 3.139 Sc
3.378 -4.864 0.089 Sc
1.655 -8.325 1.374 Sc
0.394 -2.723 1.854 Sc
1.416 -2.800 -0.737 Ge
-1.124 -8.405 1.186 Ge
-2.266 -4.017 1.659 Ge
2.558 -7.188 -1.211 Ge
0.000 0.000 0.000 Cl
0.146 -5.603 0.224 Cl

***

5.
PBE Sc2Ge2Cl, optimized geometry; ΔE_f (raw) = -0.90 eV per atom; density of states at the Fermi level = 8.12 states/eV/cell
1.0
7.242 0.000 0.000
0.000 7.242 0.000
0.000 0.000 3.838
Ge Sc Cl
4 4 2
Cartesian
6.384 2.763 1.919 Ge
0.858 4.479 1.919 Ge
4.479 6.384 1.919 Ge
2.763 0.858 1.919 Ge
4.919 1.298 0.000 Sc
5.943 4.919 0.000 Sc
1.298 2.322 0.000 Sc
2.322 5.943 0.000 Sc
3.621 3.621 0.000 Cl
0.000 0.000 0.000 Cl

***

6.
PBE ScGeCl2, optimized geometry; ΔE_f (raw) = -0.43 eV per atom; density of states at the Fermi level = 7.91 states/eV/cell
1.0
-6.412 -1.003 -0.118
0.956 -6.272 1.371
-3.023 -2.429 6.357
Cl Ge Sc
4 2 2
Cartesian
-4.227 -5.115 5.361 Cl
-1.537 -4.743 2.421 Cl
-7.127 -7.623 5.741 Cl
-4.066 -1.928 1.698 Cl
0.000 0.000 0.000 Ge
-6.081 -3.535 3.433 Ge
-2.397 -6.169 4.178 Sc
-2.728 -3.637 0.626 Sc

***

7.
PBE Sc2Ge2Cl, optimized geometry; ΔE_f (raw) = -0.47 eV per atom; density of states at the Fermi level = 7.39 states/eV/cell
1.0
5.095 0.000 0.000
0.000 5.095 0.000
2.547 2.547 4.526
Ge Sc Cl
2 2 1
Cartesian
2.547 2.547 1.200 Ge
5.095 5.095 3.326 Ge
2.547 5.095 2.263 Sc
5.095 2.547 2.263 Sc
0.000 0.000 0.000 Cl

***

8.
PBE ScGe3Cl9, optimized geometry; ΔE_f (raw) = -1.14 eV per atom; density of states at the Fermi level = 0.00 states/eV/cell
1.0
0.402 -1.046 8.435
9.723 -3.394 3.407
2.731 8.584 5.227
Ge Sc Cl
6 2 18
Cartesian
11.555 4.050 7.951 Ge
4.228 4.830 9.992 Ge
2.026 0.585 9.104 Ge
5.383 1.313 4.783 Ge
8.202 3.313 12.352 Ge
7.630 -0.913 7.096 Ge
7.411 6.752 7.312 Sc
11.072 0.335 9.854 Sc
10.410 2.544 10.697 Cl
4.370 -0.538 10.307 Cl
6.564 4.668 13.916 Cl
7.691 2.238 5.134 Cl
5.554 0.483 7.122 Cl
9.987 -1.133 11.485 Cl
3.498 3.767 7.952 Cl
2.303 1.926 5.227 Cl
5.355 6.634 8.919 Cl
8.455 4.717 7.960 Cl
7.081 -2.449 8.875 Cl
8.873 0.588 8.467 Cl
9.792 -2.723 5.443 Cl
6.515 2.697 10.944 Cl
6.157 -0.838 4.067 Cl
1.779 -1.176 7.422 Cl
11.899 2.772 13.910 Cl
2.645 5.194 4.638 Cl

***

9.
PBE Sc3GeCl3, optimized geometry; ΔE_f (raw) = -1.48 eV per atom; density of states at the Fermi level = 4.87 states/eV/cell
1.0
6.094 0.000 1.935
2.740 5.443 1.935
0.019 0.012 10.505
Cl Ge Sc
6 2 6
Cartesian
5.900 4.875 6.135 Cl
6.076 1.229 5.478 Cl
2.953 0.580 8.239 Cl
2.777 4.226 8.896 Cl
5.928 2.377 9.535 Cl
2.925 3.078 4.840 Cl
2.944 1.814 1.290 Ge
5.908 3.641 13.084 Ge
1.405 2.129 9.690 Sc
4.529 0.298 10.324 Sc
4.352 3.911 10.974 Sc
4.501 1.544 3.400 Sc
7.447 3.326 4.684 Sc
4.324 5.157 4.050 Sc

***

10.
PBE ScGe3Cl, optimized geometry; ΔE_f (raw) = 0.49 eV per atom; density of states at the Fermi level = 5.78 states/eV/cell
1.0
-4.088 -0.836 -3.235
-0.675 -4.799 2.094
-3.272 2.035 3.609
Ge Sc Cl
3 1 1
Cartesian
-1.636 1.017 1.805 Ge
-0.338 -2.400 1.047 Ge
-2.044 -0.418 -1.617 Ge
0.000 0.000 0.000 Sc
-4.018 -1.800 1.234 Cl

***

11.
PBE Sc2GeSeCl, optimized geometry; ΔE_f (raw) = -0.09 eV per atom; density of states at the Fermi level = 6.46 states/eV/cell
1.0
4.866 0.000 0.000
0.000 4.831 0.000
0.000 0.000 4.866
Sc Se Ge Cl
2 1 1 1
Cartesian
2.433 0.000 0.000 Sc
0.000 0.000 2.433 Sc
2.433 2.415 2.433 Se
0.000 2.415 0.000 Ge
0.000 0.000 0.000 Cl

***

12.
PBE ScSi2GeCl, optimized geometry; ΔE_f (raw) = 0.44 eV per atom; density of states at the Fermi level = 3.42 states/eV/cell
1.0
4.734 0.000 0.000
0.000 5.059 0.000
0.000 0.000 4.734
Ge Cl Sc Si
1 1 1 2
Cartesian
0.000 0.000 0.000 Ge
0.000 2.529 0.000 Cl
2.367 2.529 2.367 Sc
2.367 0.000 0.000 Si
0.000 0.000 2.367 Si

***

13.
PBE ScTl2GeCl, optimized geometry; ΔE_f (raw) = 0.32 eV per atom; density of states at the Fermi level = 4.75 states/eV/cell
1.0
-4.340 3.450 0.252
-2.909 -3.772 1.548
1.256 1.195 5.273
Sc Tl Ge Cl
1 2 1 1
Cartesian
-2.996 0.437 3.536 Sc
-2.170 1.725 0.126 Tl
0.628 0.598 2.636 Tl
0.000 0.000 0.000 Ge
-1.454 -1.886 0.774 Cl

***

14.
PBE GeSeCl2, optimized geometry; ΔE_f (raw) = 0.28 eV per atom; density of states at the Fermi level = 2.22 states/eV/cell
1.0
2.398 -2.887 3.320
0.577 1.565 4.725
-2.553 -2.212 3.701
Ge Cl Se
1 2 1
Cartesian
0.000 0.000 0.000 Ge
0.105 -0.884 2.936 Cl
0.316 -2.651 8.809 Cl
0.211 -1.767 5.873 Se

***

15.
PBE GeSeCl2, optimized geometry; ΔE_f (raw) = -0.09 eV per atom; density of states at the Fermi level = 5.29 states/eV/cell
1.0
-2.655 -3.216 8.697
-1.920 -8.660 -3.788
0.132 -6.677 2.920
Ge Se Cl
2 2 4
Cartesian
-2.287 -5.938 2.455 Ge
-2.038 -10.637 0.793 Ge
0.000 0.000 0.000 Se
-2.405 -7.915 7.036 Se
-1.421 -4.222 4.232 Cl
-1.945 -8.023 0.910 Cl
-3.582 -13.945 7.121 Cl
-1.939 -10.915 3.395 Cl

***

16.
PBE GeSeCl3, optimized geometry; ΔE_f (raw) = -0.07 eV per atom; density of states at the Fermi level = 4.04 states/eV/cell
1.0
-3.677 1.826 3.079
2.994 -0.851 4.080
1.963 4.720 -0.456
Ge Cl Se
1 3 1
Cartesian
0.000 0.000 0.000 Ge
0.981 2.360 -0.228 Cl
-1.838 0.913 1.540 Cl
1.497 -0.426 2.040 Cl
0.640 2.847 3.352 Se

***

17.
PBE GeSeCl, optimized geometry; ΔE_f (raw) = -0.11 eV per atom; density of states at the Fermi level = 0.78 states/eV/cell
1.0
4.821 -0.994 0.000
-2.980 3.918 0.000
-0.921 -1.462 7.027
Ge Se Cl
1 1 1
Cartesian
0.000 0.000 0.094 Ge
0.921 1.462 1.789 Se
0.000 0.000 5.144 Cl

***

18.
PBE GeSeCl, optimized geometry; ΔE_f (raw) = -0.52 eV per atom; density of states at the Fermi level = 0.00 states/eV/cell
1.0
3.677 0.019 0.009
1.786 8.181 1.456
-0.009 0.893 6.912
Se Cl Ge
2 2 2
Cartesian
0.972 3.227 5.273 Se
2.785 7.459 3.656 Se
4.618 7.297 6.971 Cl
2.816 3.409 1.967 Cl
4.617 8.215 4.998 Ge
2.818 2.491 3.940 Ge

***

19.
PBE Ge2SeCl8, optimized geometry; ΔE_f (raw) = -0.62 eV per atom; density of states at the Fermi level = 0.66 states/eV/cell
1.0
7.148 -0.996 -0.605
-0.844 8.768 1.063
1.032 0.996 7.099
Cl Se Ge
8 1 2
Cartesian
3.516 6.654 3.970 Cl
3.078 7.497 7.328 Cl
0.345 7.497 5.159 Cl
3.820 2.113 3.587 Cl
4.259 1.271 0.229 Cl
6.991 1.271 2.398 Cl
5.516 4.300 1.451 Cl
1.820 4.468 6.106 Cl
0.000 0.000 0.000 Se
2.190 6.519 5.641 Ge
5.146 2.249 1.916 Ge

***

20.
PBE GeSeCl2, optimized geometry; ΔE_f (raw) = -0.68 eV per atom; density of states at the Fermi level = 0.00 states/eV/cell
1.0
5.731 -0.002 0.001
0.000 6.454 0.000
-0.002 0.005 16.544
Ge Cl Se
4 8 4
Cartesian
2.865 1.613 2.954 Ge
-0.001 1.616 5.317 Ge
2.864 4.845 13.592 Ge
5.730 4.841 11.228 Ge
1.088 0.240 6.577 Cl
4.643 2.994 6.575 Cl
4.641 6.218 9.968 Cl
3.956 2.989 1.695 Cl
1.773 3.469 14.850 Cl
1.086 3.463 9.970 Cl
1.776 0.233 1.697 Cl
3.953 6.224 14.848 Cl
1.431 6.331 12.408 Se
4.296 3.356 12.411 Se
1.433 3.101 4.134 Se
4.298 0.127 4.137 Se

***

21.
PBE GeSeCl, optimized geometry; ΔE_f (raw) = -0.37 eV per atom; density of states at the Fermi level = 2.02 states/eV/cell
1.0
-4.948 4.234 -1.390
-0.549 -1.707 -3.244
-1.820 -1.135 3.023
Cl Ge Se
1 1 1
Cartesian
-2.590 -0.304 0.599 Cl
-4.874 4.171 -1.369 Ge
-4.801 1.760 -2.230 Se

***

22.
PBE Ge2SeCl2, optimized geometry; ΔE_f (raw) = -0.46 eV per atom
1.0
5.462 0.000 0.000
-2.731 6.480 -0.132
0.000 -3.663 8.304
Cl Ge Se
4 4 2
Cartesian
0.000 -2.131 6.213 Cl
0.000 2.685 3.669 Cl
2.731 4.949 1.959 Cl
2.731 0.132 4.503 Cl
2.731 2.666 3.184 Ge
2.731 -2.612 6.684 Ge
0.000 0.151 4.988 Ge
0.000 5.430 1.489 Ge
2.731 1.368 1.016 Se
0.000 1.450 7.156 Se

***

23.
PBE Sm6GeSe3Cl2, optimized geometry; ΔE_f (raw) = -1.55 eV per atom; density of states at the Fermi level = 4.88 states/eV/cell
1.0
7.228 -0.005 0.008
-3.617 6.258 0.008
-1.197 -2.073 6.801
Cl Sm Ge Se
2 6 1 3
Cartesian
-0.004 4.171 0.008 Cl
3.615 2.081 0.008 Cl
-0.053 -0.092 5.010 Sm
3.547 2.201 5.054 Sm
-1.133 1.979 1.763 Sm
0.134 4.172 5.054 Sm
2.467 4.272 1.807 Sm
2.281 0.008 1.763 Sm
0.000 0.000 0.000 Ge
1.207 2.090 3.409 Se
-2.347 4.143 3.409 Se
4.761 0.037 3.409 Se

***

24.
PBE Sm6Ge2Se3Cl, optimized geometry; ΔE_f (raw) = -1.50 eV per atom; density of states at the Fermi level = 4.10 states/eV/cell
1.0
-1.950 -2.356 -2.863
-4.515 -3.686 6.108
-4.231 8.325 -0.904
Se Sm Cl Ge
3 6 1 2
Cartesian
-5.465 -0.768 4.354 Se
-3.232 -3.021 1.623 Se
-5.231 3.051 -2.013 Se
-5.347 -0.892 1.311 Sm
-5.349 3.175 1.030 Sm
-1.281 -0.906 1.617 Sm
-3.223 0.927 -1.632 Sm
-9.415 3.189 0.724 Sm
-7.472 1.356 3.973 Sm
-0.975 -1.178 -1.431 Cl
-3.222 1.150 1.248 Ge
-7.473 1.133 1.093 Ge

***

Number 1: spin magnetization 0.00 μB per formula unit. Number 2: spin magnetization 0.00 μB per formula unit. Number 3: spin magnetization 2.00 μB per formula unit. Number 4: spin magnetization 0.00 μB per formula unit. Number 5: spin magnetization 0.00 μB per formula unit. Number 6: spin magnetization 0.00 μB per formula unit. Number 7: spin magnetization 0.00 μB per formula unit. Number 8: spin magnetization 0.00 μB per formula unit. Number 9: spin magnetization 0.00 μB per formula unit. Number 10: spin magnetization 0.00 μB per formula unit. Number 11: spin magnetization 0.00 μB per formula unit. Number 12: spin magnetization 0.00 μB per formula unit. Number 13: spin magnetization 1.38 μB per formula unit. Number 14: spin magnetization 2.00 μB per formula unit. Number 15: spin magnetization 1.14 μB per formula unit. Number 16: spin magnetization 2.71 μB per formula unit. Number 17: spin magnetization 0.00 μB per formula unit. Number 18: spin magnetization 0.00 μB per formula unit. Number 19: spin magnetization 2.00 μB per formula unit. Number 20: spin magnetization 0.00 μB per formula unit. Number 21: spin magnetization 0.00 μB per formula unit. Number 22: spin magnetization 0.00 μB per formula unit. Number 23: spin magnetization 0.00 μB per formula unit. Number 24: spin magnetization 0.00 μB per formula unit.